# 1
A plane-wave DFT calculation with PBE was carried out for HgPbAu2 after structural relaxation.

Geometry as POSCAR:
```
HgPbAu2
1.0
-4.029 4.029 2.984
4.029 -4.029 2.984
4.029 4.029 -2.984
Hg Pb Au
2 2 4
Direct
0.000 0.000 0.000
0.750 0.250 0.500
0.250 0.750 0.500
0.500 0.500 0.000
0.119 0.625 0.994
0.375 0.369 0.494
0.631 0.125 0.006
0.875 0.881 0.506
```

Its energy of formation from the pure elements is 0.083 eV/atom. Its crystal system is tetragonal. Its space-group type is No. 122. Its offset from the most stable computed form is 95 meV/atom. The total DFT energy (no corrections) comes out at -2.558 eV/atom. The calculated volume comes out at 24.221 Å³/atom. The density of states at the Fermi level is 2.1 states/eV per cell. The value obtained for the size of the total moment is 0.0 μB per formula unit.



# 2
A plane-wave DFT calculation with PBE was carried out for Hg4OF6 after structural relaxation.

Geometry as POSCAR:
```
Hg4OF6
1.0
7.922 0.000 0.000
-3.961 6.861 0.000
0.000 0.000 6.159
Hg O F
8 2 12
Direct
0.182 0.364 0.000
0.182 0.818 0.000
0.333 0.667 0.476
0.364 0.182 0.500
0.636 0.818 0.000
0.667 0.333 0.976
0.818 0.182 0.500
0.818 0.636 0.500
0.333 0.667 0.127
0.667 0.333 0.627
0.079 0.540 0.726
0.127 0.255 0.394
0.127 0.873 0.394
0.255 0.127 0.894
0.460 0.540 0.726
0.460 0.921 0.726
0.540 0.079 0.226
0.540 0.460 0.226
0.745 0.873 0.394
0.873 0.127 0.894
0.873 0.745 0.894
0.921 0.460 0.226
```

Its crystal system is hexagonal. Its space-group type is No. 186. The total DFT energy (no corrections) comes out at -2.809 eV/atom. The calculated volume comes out at 15.216 Å³/atom. The density of states at the Fermi level is 4.2 states/eV per cell. The uncorrected formation energy comes out at -1.228 eV per atom. The value obtained for the size of the total moment is 0.0 μB per formula unit.